Material: CaLaMn2N
Method: DFT, PBE-GGA
State: relaxed

a b c (Å): 4.465 4.465 6.759
angles (deg): 90.00 90.00 90.00
Sites, in units of the cell vectors:
Ca 0.000 0.000 0.000
La 0.000 0.000 0.500
Mn 0.000 0.500 0.500
Mn 0.500 0.000 0.500
N 0.500 0.500 0.000

Summary:
Symmetry: No. 123
DOS(E_F): 5.523 states/eV per cell
Total energy: -4.67 eV per atom
Crystal system: tetragonal